# 1
Here is a relaxed ScAl2Cr crystal from the Alexandria database. Energies are from GGA-PBE.

Calculated values
The value obtained for the density of states at the Fermi level is 3.3 states/eV/cell. The energy above the most stable polymorph in this dataset comes out at 183 meV/atom. For the total energy, the calculation gives -23.54 eV per formula unit. As for the calculated volume: 16.59 Å³ per atom. For the formation energy, the calculation gives -0.03 eV/atom.

Lattice parameters (Å, degrees): 4.5440 4.5440 4.5440 60.00 60.00 60.00
Closest atoms and distances in Å follow each position.
Element x y z (fractional)
Sc1 0.0000 0.0000 0.0000  4 Cr 2.78, 4 Al 2.78
Al1 0.2500 0.2500 0.2500  4 Al 2.78, 4 Sc 2.78
Al2 0.5000 0.5000 0.5000  4 Cr 2.78, 4 Al 2.78
Cr1 0.7500 0.7500 0.7500  4 Sc 2.78, 4 Al 2.78



# 2
Here is a relaxed Sc2AlCr crystal from the Alexandria database. Energies are from GGA-PBE.

Calculated values
The value obtained for the density of states at the Fermi level is 3.0 states/eV/cell. For the total energy, the calculation gives -26.21 eV per formula unit. As for the calculated volume: 18.50 Å³ per atom. For the formation energy, the calculation gives -0.05 eV/atom.

Lattice parameters (Å, degrees): 4.7125 4.7125 4.7125 60.00 60.00 60.00
Closest atoms and distances in Å follow each position.
Element x y z (fractional)
Sc1 0.0000 0.0000 0.0000  4 Cr 2.89, 4 Sc 2.89
Sc2 0.2500 0.2500 0.2500  4 Al 2.89, 4 Sc 2.89
Al1 0.5000 0.5000 0.5000  4 Sc 2.89, 4 Cr 2.89
Cr1 0.7500 0.7500 0.7500  4 Al 2.89, 4 Sc 2.89



# 3
Here is a relaxed ScAlCr2 crystal from the Alexandria database. Energies are from GGA-PBE.

Calculated values
The value obtained for the density of states at the Fermi level is 2.8 states/eV/cell. For the total energy, the calculation gives -28.25 eV per formula unit. As for the calculated volume: 14.67 Å³ per atom. For the formation energy, the calculation gives 0.27 eV/atom.

Lattice parameters (Å, degrees): 2.6320 2.6320 8.4724 90.00 90.00 90.00
Closest atoms and distances in Å follow each position.
Element x y z (fractional)
Sc1 0.0000 0.0000 0.0000  4 Sc 2.63
Al1 0.0000 0.0000 0.5000  4 Al 2.63, 8 Cr 2.68
Cr1 0.5000 0.5000 0.2723  4 Cr 2.63, 4 Al 2.68
Cr2 0.5000 0.5000 0.7277  4 Cr 2.63, 4 Al 2.68



# 4
Here is a relaxed ScAlCr crystal from the Alexandria database. Energies are from GGA-PBE.

Calculated values
The value obtained for the density of states at the Fermi level is 2.2 states/eV/cell. For the total energy, the calculation gives -17.58 eV per formula unit. As for the calculated volume: 22.47 Å³ per atom. For the formation energy, the calculation gives 0.71 eV/atom.

Lattice parameters (Å, degrees): 4.5685 4.5685 4.5685 60.00 60.00 60.00
Closest atoms and distances in Å follow each position.
Element x y z (fractional)
Sc1 0.0000 0.0000 0.0000  4 Cr 2.80, 4 Al 2.80
Al1 0.2500 0.2500 0.2500  4 Sc 2.80
Cr1 0.7500 0.7500 0.7500  4 Sc 2.80